First-principles (PBE) data for an optimized crystal structure of AlAg7, as listed in Alexandria.

* formation energy from the elements: -0.025 eV per atom
* E above lowest polymorph: 0.000 eV/atom
* size of the total moment: 0.0 μB/cell
* calculated density: 9.23 g cm⁻³

Lattice parameters (Å, degrees): 8.2550 8.2550 8.2550 90.00 90.00 90.00
With the nearest neighbours (Å) after each atom.
Space group Fm-3m (No. 225)
Symmetry-distinct sites (fractional):
Al 0.0000 0.0000 0.0000 x4  12 Ag 2.92
Ag 0.0000 0.0000 0.5000 x4  12 Ag 2.92
Ag 0.0000 0.2500 0.2500 x24  2 Al 2.92, 10 Ag 2.92

First-principles (PBE) data for an optimized crystal structure of SrAc3Tc2N6, as listed in Alexandria.

* VASP energy: -7.66 eV per atom
* size of the total moment: 0.0 μB/cell
* calculated density: 7.27 g cm⁻³

Lattice parameters (Å, degrees): 6.0793 6.0793 7.4819 90.00 90.00 120.00
With the nearest neighbours (Å) after each atom.
Space group P-3m1 (No. 164)
Symmetry-distinct sites (fractional):
Sr 0.0000 0.0000 0.0000 x1  6 N 2.52
Ac 0.0000 0.0000 0.5000 x1  6 N 2.63
Ac 0.3333 0.6667 0.2391 x2  6 N 3.04, 1 Tc 3.39
Tc 0.3333 0.6667 0.6926 x2  3 N 1.82
N 0.1675 0.3349 0.7602 x6  1 Tc 1.82

First-principles (PBE) data for an optimized crystal structure of MgGaRu2, as listed in Alexandria.

* formation energy from the elements: -0.087 eV per atom
* size of the total moment: 0.0 μB/cell
* calculated density: 8.51 g cm⁻³

Lattice parameters (Å, degrees): 4.3233 4.3233 3.0914 90.00 90.00 90.00
With the nearest neighbours (Å) after each atom.
Space group P4/mmm (No. 123)
Symmetry-distinct sites (fractional):
Mg 0.0000 0.0000 0.0000 x1  8 Ru 2.66
Ga 0.5000 0.5000 0.0000 x1  8 Ru 2.66
Ru 0.0000 0.5000 0.5000 x2  4 Mg 2.66, 4 Ga 2.66

First-principles (PBE) data for an optimized crystal structure of CeNdY2Ho, as listed in Alexandria.

* formation energy from the elements: 0.286 eV per atom
* size of the total moment: 3.1 μB/cell
* calculated density: 6.26 g cm⁻³

Lattice parameters (Å, degrees): 5.8562 7.6828 7.3992 90.00 90.00 90.00
With the nearest neighbours (Å) after each atom.
Space group Pmma (No. 51)
Symmetry-distinct sites (fractional):
Ce 0.0000 0.0000 0.0000 x2  2 Ce 2.93, 2 Ho 3.16
Nd 0.2500 0.5000 0.1591 x2  6 Y 3.58-3.95, 2 Nd 3.76
Y 0.2500 0.2875 0.6725 x4  1 Ho 3.10, 1 Y 3.26
Ho 0.2500 0.0000 0.3791 x2  2 Y 3.10, 2 Ce 3.16, 2 Ho 3.43